No. 1
Here is a geometry-optimized Ag4ClO2 structure from Alexandria. Energies are from PBE.

Structure (CIF):
```
data_Ag4ClO2
_chemical_formula_sum 'Ag8 Cl2 O4'
_cell_length_a 7.000
_cell_length_b 6.146
_cell_length_c 6.491
_cell_angle_alpha 90.00
_cell_angle_beta 109.88
_cell_angle_gamma 90.00
_space_group_name_H-M_alt 'P 1'
_space_group_IT_number 1
_space_group_name_Hall 'P 1'
loop_
_atom_site_label
_atom_site_type_symbol
_atom_site_fract_x
_atom_site_fract_y
_atom_site_fract_z
Ag1 Ag 0.593 0.491 0.258
Ag2 Ag 0.859 0.750 0.836
Ag3 Ag 0.141 0.250 0.164
Ag4 Ag 0.593 0.009 0.258
Ag5 Ag 0.954 0.250 0.504
Ag6 Ag 0.407 0.991 0.742
Ag7 Ag 0.407 0.509 0.742
Ag8 Ag 0.046 0.750 0.496
Cl1 Cl 0.168 0.750 0.171
Cl2 Cl 0.832 0.250 0.829
O1 O 0.577 0.750 0.953
O2 O 0.423 0.250 0.047
O3 O 0.275 0.250 0.528
O4 O 0.725 0.750 0.472
```

M_tot: 0.00 μB per atom
final energy: -0.12425 hartree per atom



No. 2
Here is a geometry-optimized ThZrNi2Sb2 structure from Alexandria. Energies are from PBE.

Structure (CIF):
```
data_ThZrNi2Sb2
_chemical_formula_sum 'Th1 Zr1 Ni2 Sb2'
_cell_length_a 4.350
_cell_length_b 4.350
_cell_length_c 7.500
_cell_angle_alpha 90.00
_cell_angle_beta 90.00
_cell_angle_gamma 120.00
_space_group_name_H-M_alt 'P 1'
_space_group_IT_number 1
_space_group_name_Hall 'P 1'
loop_
_atom_site_label
_atom_site_type_symbol
_atom_site_fract_x
_atom_site_fract_y
_atom_site_fract_z
Th1 Th 0.000 0.000 0.000
Zr1 Zr 0.000 0.000 0.500
Ni1 Ni 0.667 0.333 0.314
Ni2 Ni 0.333 0.667 0.686
Sb1 Sb 0.667 0.333 0.734
Sb2 Sb 0.333 0.667 0.266
```

M_tot: 0.00 μB per atom
final energy: -0.24369 hartree per atom



No. 3
Here is a geometry-optimized CaNbCu structure from Alexandria. Energies are from PBE.

Structure (CIF):
```
data_CaNbCu
_chemical_formula_sum 'Ca2 Nb2 Cu2'
_cell_length_a 5.596
_cell_length_b 5.561
_cell_length_c 4.353
_cell_angle_alpha 90.00
_cell_angle_beta 90.00
_cell_angle_gamma 103.49
_space_group_name_H-M_alt 'P 1'
_space_group_IT_number 1
_space_group_name_Hall 'P 1'
loop_
_atom_site_label
_atom_site_type_symbol
_atom_site_fract_x
_atom_site_fract_y
_atom_site_fract_z
Ca1 Ca 0.320 0.035 0.987
Ca2 Ca 0.197 0.526 0.487
Nb1 Nb 0.784 0.907 0.486
Nb2 Nb 0.733 0.655 0.987
Cu1 Cu 0.843 0.205 0.986
Cu2 Cu 0.674 0.357 0.486
```

M_tot: 0.00 μB per atom
final energy: -0.18873 hartree per atom
ΔE_f: 0.2534 eV per atom
energy above the most stable polymorph in this dataset: 9.7 kJ per mole of atoms



No. 4
Here is a geometry-optimized MnCr2B structure from Alexandria. Energies are from PBE.

Structure (CIF):
```
data_MnCr2B
_chemical_formula_sum 'Mn2 Cr4 B2'
_cell_length_a 6.588
_cell_length_b 6.588
_cell_length_c 5.082
_cell_angle_alpha 49.60
_cell_angle_beta 49.60
_cell_angle_gamma 90.00
_space_group_name_H-M_alt 'P 1'
_space_group_IT_number 1
_space_group_name_Hall 'P 1'
loop_
_atom_site_label
_atom_site_type_symbol
_atom_site_fract_x
_atom_site_fract_y
_atom_site_fract_z
Cr1 Cr 0.535 0.125 0.250
Cr2 Cr 0.215 0.625 0.250
Cr3 Cr 0.375 0.465 0.750
Cr4 Cr 0.875 0.785 0.750
B1 B 0.500 0.500 0.000
B2 B 0.250 0.750 0.500
Mn1 Mn 0.000 0.000 0.000
Mn2 Mn 0.750 0.250 0.500
```

M_tot: 0.26 μB per atom
final energy: -0.31109 hartree per atom
ΔE_f: 0.3084 eV per atom



No. 5
Here is a geometry-optimized Ba2CaBe structure from Alexandria. Energies are from PBE.

Structure (CIF):
```
data_Ba2CaBe
_chemical_formula_sum 'Ba2 Ca1 Be1'
_cell_length_a 11.874
_cell_length_b 11.874
_cell_length_c 11.874
_cell_angle_alpha 20.33
_cell_angle_beta 20.33
_cell_angle_gamma 20.33
_space_group_name_H-M_alt 'P 1'
_space_group_IT_number 1
_space_group_name_Hall 'P 1'
loop_
_atom_site_label
_atom_site_type_symbol
_atom_site_fract_x
_atom_site_fract_y
_atom_site_fract_z
Be1 Be 0.250 0.250 0.250
Ca1 Ca 0.750 0.750 0.750
Ba1 Ba 0.980 0.980 0.980
Ba2 Ba 0.520 0.520 0.520
```

M_tot: 0.00 μB per atom
final energy: -0.07184 hartree per atom
ΔE_f: 0.4386 eV per atom



No. 6
Here is a geometry-optimized Er2Tm3Sc3 structure from Alexandria. Energies are from PBE.

Structure (CIF):
```
data_Er2Tm3Sc3
_chemical_formula_sum 'Er2 Tm3 Sc3'
_cell_length_a 6.183
_cell_length_b 6.183
_cell_length_c 6.183
_cell_angle_alpha 94.70
_cell_angle_beta 94.70
_cell_angle_gamma 85.30
_space_group_name_H-M_alt 'P 1'
_space_group_IT_number 1
_space_group_name_Hall 'P 1'
loop_
_atom_site_label
_atom_site_type_symbol
_atom_site_fract_x
_atom_site_fract_y
_atom_site_fract_z
Er1 Er 0.251 0.251 0.749
Er2 Er 0.749 0.749 0.251
Tm1 Tm 0.261 0.739 0.500
Tm2 Tm 0.500 0.261 0.261
Tm3 Tm 0.739 0.500 0.739
Sc1 Sc 0.226 0.774 0.000
Sc2 Sc 0.000 0.226 0.226
Sc3 Sc 0.774 0.000 0.774
```

M_tot: 0.72 μB per atom
final energy: -0.18213 hartree per atom
ΔE_f: 0.2358 eV per atom
energy above the most stable polymorph in this dataset: 6.1 kJ per mole of atoms



No. 7
Here is a geometry-optimized Ac4Zn3Ru2 structure from Alexandria. Energies are from PBE.

Structure (CIF):
```
data_Ac4Zn3Ru2
_chemical_formula_sum 'Ac4 Zn3 Ru2'
_cell_length_a 4.083
_cell_length_b 7.682
_cell_length_c 8.737
_cell_angle_alpha 112.20
_cell_angle_beta 103.51
_cell_angle_gamma 90.00
_space_group_name_H-M_alt 'P 1'
_space_group_IT_number 1
_space_group_name_Hall 'P 1'
loop_
_atom_site_label
_atom_site_type_symbol
_atom_site_fract_x
_atom_site_fract_y
_atom_site_fract_z
Ac1 Ac 0.224 0.695 0.448
Ac2 Ac 0.776 0.305 0.552
Ac3 Ac 0.567 0.870 0.133
Ac4 Ac 0.433 0.130 0.867
Zn1 Zn 0.101 0.251 0.202
Zn2 Zn 0.899 0.749 0.798
Zn3 Zn 0.000 0.500 0.000
Ru1 Ru 0.404 0.532 0.808
Ru2 Ru 0.596 0.468 0.192
```

M_tot: 0.00 μB per atom
final energy: -0.16580 hartree per atom
ΔE_f: -0.1997 eV per atom



No. 8
Here is a geometry-optimized Nb6Al10Mo structure from Alexandria. Energies are from PBE.

Structure (CIF):
```
data_Nb6Al10Mo
_chemical_formula_sum 'Nb6 Al10 Mo1'
_cell_length_a 5.373
_cell_length_b 7.877
_cell_length_c 7.877
_cell_angle_alpha 120.00
_cell_angle_beta 90.00
_cell_angle_gamma 90.00
_space_group_name_H-M_alt 'P 1'
_space_group_IT_number 1
_space_group_name_Hall 'P 1'
loop_
_atom_site_label
_atom_site_type_symbol
_atom_site_fract_x
_atom_site_fract_y
_atom_site_fract_z
Nb1 Nb 0.701 0.381 0.381
Nb2 Nb 0.701 0.000 0.619
Nb3 Nb 0.701 0.619 0.000
Nb4 Nb 0.299 0.619 0.619
Nb5 Nb 0.299 0.000 0.381
Nb6 Nb 0.299 0.381 0.000
Al1 Al 0.814 0.738 0.738
Al2 Al 0.814 0.000 0.262
Al3 Al 0.814 0.262 0.000
Al4 Al 0.186 0.262 0.262
Al5 Al 0.186 0.000 0.738
Al6 Al 0.186 0.738 0.000
Al7 Al 0.500 0.333 0.667
Al8 Al 0.500 0.667 0.333
Al9 Al 0.000 0.667 0.333
Al10 Al 0.000 0.333 0.667
Mo1 Mo 0.500 0.000 0.000
```

M_tot: 0.00 μB per atom
final energy: -0.23751 hartree per atom
ΔE_f: -0.0703 eV per atom